(1)
The following is a DFT calculation (PBE-GGA) of a geometry-optimized Ho3ZnSi3 structure.

Summary:
Total moment ... 0.0 μB per formula unit
Crystal system ... orthorhombic
Formation energy from raw total energies ... -697 meV/atom
N(E_F) ... 0.67 states/eV/atom
Volume ... 144.9 Å³/cell

Cell and atoms, written as POSCAR:
```
Ho3ZnSi3
1.0
-3.048 -2.418 -0.384
1.502 -1.311 -3.670
5.322 -4.527 6.172
Ho Zn Si
3 1 3
Cartesian
3.604 -4.664 0.765
0.155 -3.568 1.338
0.038 -0.053 0.034
3.935 -5.529 3.586
2.085 -2.529 -0.620
1.693 -5.729 2.740
-0.181 -2.696 -1.487
```



(2)
The following is a DFT calculation (PBE-GGA) of a geometry-optimized Ho2ZnSi structure.

Summary:
Total moment ... 0.0 μB per formula unit
Crystal system ... tetragonal
Formation energy from raw total energies ... -467 meV/atom
N(E_F) ... 0.43 states/eV/atom
Volume ... 86.2 Å³/cell

Cell and atoms, written as POSCAR:
```
Ho2ZnSi
1.0
3.648 0.000 0.000
0.000 4.862 0.000
0.000 0.000 4.862
Zn Si Ho
1 1 2
Cartesian
1.824 2.431 2.431
1.824 0.000 0.000
0.000 0.000 2.431
0.000 2.431 0.000
```